Record 1
PuUIr2 | GGA-PBE | relaxed

DFT total energy: -11.264 eV per atom
Volume: 19.8 A^3/atom
M_tot: 7.201 μB per formula unit
Formation enthalpy at 0 K: -0.4288 eV per atom
Crystal system: monoclinic

abc: 3.7181 3.6633 5.8906
angles: 90.00 98.51 90.00
Space group P2/m (No. 10)
Symmetry-distinct sites (fractional):
Pu 0.0000 0.0000 0.0000 [1 per cell]
U 0.0000 0.0000 0.5000 [1 per cell]
Ir 0.4801 0.5000 0.7444 [2 per cell]


Record 2
Pu4UIr3 | GGA-PBE | relaxed

DFT total energy: -12.287 eV per atom
Volume: 21.8 A^3/atom
M_tot: 19.952 μB per formula unit
Formation enthalpy at 0 K: -0.3871 eV per atom
Crystal system: tetragonal

abc: 11.0209 11.0209 5.7426
angles: 90.00 90.00 90.00
Space group I4/mcm (No. 140)
Symmetry-distinct sites (fractional):
Pu 0.0868 0.2183 0.0000 [16 per cell]
U 0.0000 0.5000 0.2500 [4 per cell]
Ir 0.0000 0.0000 0.2500 [4 per cell]
Ir 0.1524 0.3476 0.5000 [8 per cell]


Record 3
PuUIr | GGA-PBE | relaxed

DFT total energy: -11.774 eV per atom
Volume: 18.6 A^3/atom
M_tot: 3.663 μB per formula unit
Formation enthalpy at 0 K: -0.2806 eV per atom
Energy above the most stable polymorph in this dataset: 0.12 eV per formula unit
Crystal system: trigonal

abc: 4.7360 4.7360 2.8760
angles: 90.00 90.00 120.00
Space group P3m1 (No. 156)
Symmetry-distinct sites (fractional):
Pu 0.0000 0.0000 0.0000 [1 per cell]
U 0.3333 0.6667 0.2058 [1 per cell]
Ir 0.6667 0.3333 0.5875 [1 per cell]


Q: What is the volume in the third record?
A: 18.6 A^3/atom